# Rb2CaAlCl6 (PBE, optimized geometry)
data_Rb2CaAlCl6
_space_group_name_H-M_alt 'P 1'
_space_group_IT_number 1
_cell_length_a 7.485
_cell_length_b 7.485
_cell_length_c 7.485
_cell_angle_alpha 60.00
_cell_angle_beta 60.00
_cell_angle_gamma 60.00
loop_
_space_group_symop_operation_xyz
'x,y,z'
loop_
_atom_site_label
_atom_site_type_symbol
_atom_site_fract_x
_atom_site_fract_y
_atom_site_fract_z
Rb1 Rb 0.250 0.250 0.250
Rb2 Rb 0.750 0.750 0.750
Ca1 Ca 0.000 0.000 0.000
Al1 Al 0.500 0.500 0.500
Cl1 Cl 0.258 0.258 0.742
Cl2 Cl 0.258 0.742 0.258
Cl3 Cl 0.258 0.742 0.742
Cl4 Cl 0.742 0.258 0.258
Cl5 Cl 0.742 0.258 0.742
Cl6 Cl 0.742 0.742 0.258
# raw total energy = -3.639 eV/atom
# volume = 297 Å³/cell
# formation energy without anion corrections = -1.763 eV/atom


# RbCa2AlCl8 (PBE, optimized geometry)
data_RbCa2AlCl8
_space_group_name_H-M_alt 'P 1'
_space_group_IT_number 1
_cell_length_a 6.204
_cell_length_b 8.633
_cell_length_c 6.382
_cell_angle_alpha 90.00
_cell_angle_beta 91.82
_cell_angle_gamma 90.00
loop_
_space_group_symop_operation_xyz
'x,y,z'
loop_
_atom_site_label
_atom_site_type_symbol
_atom_site_fract_x
_atom_site_fract_y
_atom_site_fract_z
Rb1 Rb 0.000 0.000 0.000
Ca1 Ca 0.500 0.258 0.500
Ca2 Ca 0.500 0.742 0.500
Al1 Al 0.000 0.500 0.000
Cl1 Cl 0.212 0.311 0.160
Cl2 Cl 0.212 0.689 0.160
Cl3 Cl 0.250 0.500 0.697
Cl4 Cl 0.273 0.000 0.610
Cl5 Cl 0.727 0.000 0.390
Cl6 Cl 0.750 0.500 0.303
Cl7 Cl 0.788 0.311 0.840
Cl8 Cl 0.788 0.689 0.840
# raw total energy = -3.906 eV/atom
# volume = 342 Å³/cell
# formation energy without anion corrections = -1.949 eV/atom


# RbCaAlCl2 (PBE, optimized geometry)
data_RbCaAlCl2
_space_group_name_H-M_alt 'P 1'
_space_group_IT_number 1
_cell_length_a 5.589
_cell_length_b 5.589
_cell_length_c 6.612
_cell_angle_alpha 90.00
_cell_angle_beta 90.00
_cell_angle_gamma 90.00
loop_
_space_group_symop_operation_xyz
'x,y,z'
loop_
_atom_site_label
_atom_site_type_symbol
_atom_site_fract_x
_atom_site_fract_y
_atom_site_fract_z
Rb1 Rb 0.000 0.000 0.000
Ca1 Ca 0.500 0.500 0.000
Al1 Al 0.000 0.000 0.500
Cl1 Cl 0.000 0.500 0.500
Cl2 Cl 0.500 0.000 0.500
# raw total energy = -2.364 eV/atom
# volume = 207 Å³/cell
# formation energy without anion corrections = -0.283 eV/atom


# RbCaAlCl6 (PBE, optimized geometry)
data_RbCaAlCl6
_space_group_name_H-M_alt 'P 1'
_space_group_IT_number 1
_cell_length_a 6.783
_cell_length_b 6.783
_cell_length_c 14.254
_cell_angle_alpha 90.00
_cell_angle_beta 90.00
_cell_angle_gamma 120.00
loop_
_space_group_symop_operation_xyz
'x,y,z'
loop_
_atom_site_label
_atom_site_type_symbol
_atom_site_fract_x
_atom_site_fract_y
_atom_site_fract_z
Rb1 Rb 0.000 0.000 0.000
Rb2 Rb 0.000 0.000 0.500
Ca1 Ca 0.333 0.667 0.250
Ca2 Ca 0.667 0.333 0.750
Al1 Al 0.333 0.667 0.750
Al2 Al 0.667 0.333 0.250
Cl1 Cl 0.043 0.393 0.653
Cl2 Cl 0.043 0.651 0.847
Cl3 Cl 0.349 0.393 0.847
Cl4 Cl 0.349 0.957 0.653
Cl5 Cl 0.393 0.043 0.153
Cl6 Cl 0.393 0.349 0.347
Cl7 Cl 0.607 0.651 0.653
Cl8 Cl 0.607 0.957 0.847
Cl9 Cl 0.651 0.043 0.347
Cl10 Cl 0.651 0.607 0.153
Cl11 Cl 0.957 0.349 0.153
Cl12 Cl 0.957 0.607 0.347
# raw total energy = -3.902 eV/atom
# volume = 568 Å³/cell
# formation energy without anion corrections = -1.925 eV/atom


# CaAlSCl2 (PBE, optimized geometry)
data_CaAlSCl2
_space_group_name_H-M_alt 'P 1'
_space_group_IT_number 1
_cell_length_a 4.833
_cell_length_b 4.833
_cell_length_c 4.864
_cell_angle_alpha 90.00
_cell_angle_beta 90.00
_cell_angle_gamma 90.00
loop_
_space_group_symop_operation_xyz
'x,y,z'
loop_
_atom_site_label
_atom_site_type_symbol
_atom_site_fract_x
_atom_site_fract_y
_atom_site_fract_z
Ca1 Ca 0.000 0.000 0.000
Al1 Al 0.500 0.500 0.500
S1 S 0.500 0.500 0.000
Cl1 Cl 0.000 0.500 0.500
Cl2 Cl 0.500 0.000 0.500
# raw total energy = -3.888 eV/atom
# volume = 114 Å³/cell
# relative energy among the computed polymorphs = 0 meV/atom
# formation energy without anion corrections = -1.175 eV/atom


# CaAlSCl2 (PBE, optimized geometry)
data_CaAlSCl2
_space_group_name_H-M_alt 'P 1'
_space_group_IT_number 1
_cell_length_a 5.268
_cell_length_b 5.268
_cell_length_c 5.559
_cell_angle_alpha 90.00
_cell_angle_beta 90.00
_cell_angle_gamma 90.00
loop_
_space_group_symop_operation_xyz
'x,y,z'
loop_
_atom_site_label
_atom_site_type_symbol
_atom_site_fract_x
_atom_site_fract_y
_atom_site_fract_z
Ca1 Ca 0.000 0.000 0.000
Al1 Al 0.500 0.500 0.500
S1 S 0.000 0.000 0.500
Cl1 Cl 0.000 0.500 0.000
Cl2 Cl 0.500 0.000 0.000
# raw total energy = -3.557 eV/atom
# volume = 154 Å³/cell
# relative energy among the computed polymorphs = 331 meV/atom
# formation energy without anion corrections = -0.844 eV/atom


# CaAlV2Cl (PBE, optimized geometry)
data_CaAlV2Cl
_space_group_name_H-M_alt 'P 1'
_space_group_IT_number 1
_cell_length_a 4.623
_cell_length_b 4.623
_cell_length_c 5.540
_cell_angle_alpha 90.00
_cell_angle_beta 90.00
_cell_angle_gamma 90.00
loop_
_space_group_symop_operation_xyz
'x,y,z'
loop_
_atom_site_label
_atom_site_type_symbol
_atom_site_fract_x
_atom_site_fract_y
_atom_site_fract_z
Ca1 Ca 0.000 0.000 0.000
Al1 Al 0.000 0.000 0.500
V1 V 0.000 0.500 0.000
V2 V 0.500 0.000 0.000
Cl1 Cl 0.500 0.500 0.500
# raw total energy = -3.136 eV/atom
# volume = 118 Å³/cell
# relative energy among the computed polymorphs = 723 meV/atom
# formation energy without anion corrections = 2.029 eV/atom


# CaAlV2Cl (PBE, optimized geometry)
data_CaAlV2Cl
_space_group_name_H-M_alt 'P 1'
_space_group_IT_number 1
_cell_length_a 5.623
_cell_length_b 5.623
_cell_length_c 4.918
_cell_angle_alpha 90.00
_cell_angle_beta 90.00
_cell_angle_gamma 90.00
loop_
_space_group_symop_operation_xyz
'x,y,z'
loop_
_atom_site_label
_atom_site_type_symbol
_atom_site_fract_x
_atom_site_fract_y
_atom_site_fract_z
Ca1 Ca 0.000 0.000 0.000
Al1 Al 0.500 0.500 0.500
V1 V 0.000 0.500 0.000
V2 V 0.500 0.000 0.000
Cl1 Cl 0.000 0.000 0.500
# raw total energy = -3.859 eV/atom
# volume = 155 Å³/cell
# relative energy among the computed polymorphs = 0 meV/atom
# formation energy without anion corrections = 1.307 eV/atom


# CaAlZnCl2 (PBE, optimized geometry)
data_CaAlZnCl2
_space_group_name_H-M_alt 'P 1'
_space_group_IT_number 1
_cell_length_a 5.115
_cell_length_b 5.115
_cell_length_c 5.032
_cell_angle_alpha 90.00
_cell_angle_beta 90.00
_cell_angle_gamma 90.00
loop_
_space_group_symop_operation_xyz
'x,y,z'
loop_
_atom_site_label
_atom_site_type_symbol
_atom_site_fract_x
_atom_site_fract_y
_atom_site_fract_z
Ca1 Ca 0.000 0.000 0.000
Al1 Al 0.500 0.500 0.500
Zn1 Zn 0.500 0.500 0.000
Cl1 Cl 0.000 0.500 0.500
Cl2 Cl 0.500 0.000 0.500
# raw total energy = -2.691 eV/atom
# volume = 132 Å³/cell
# formation energy without anion corrections = -0.549 eV/atom


# Ca2AlZnCl (PBE, optimized geometry)
data_Ca2AlZnCl
_space_group_name_H-M_alt 'P 1'
_space_group_IT_number 1
_cell_length_a 5.784
_cell_length_b 5.784
_cell_length_c 4.514
_cell_angle_alpha 90.00
_cell_angle_beta 90.00
_cell_angle_gamma 90.00
loop_
_space_group_symop_operation_xyz
'x,y,z'
loop_
_atom_site_label
_atom_site_type_symbol
_atom_site_fract_x
_atom_site_fract_y
_atom_site_fract_z
Ca1 Ca 0.000 0.500 0.000
Ca2 Ca 0.500 0.000 0.000
Al1 Al 0.000 0.000 0.500
Zn1 Zn 0.000 0.000 0.000
Cl1 Cl 0.500 0.500 0.500
# raw total energy = -2.604 eV/atom
# volume = 151 Å³/cell
# formation energy without anion corrections = -0.431 eV/atom


# Ca9Al2Co (PBE, optimized geometry)
data_Ca9Al2Co
_space_group_name_H-M_alt 'P 1'
_space_group_IT_number 1
_cell_length_a 11.375
_cell_length_b 11.375
_cell_length_c 3.584
_cell_angle_alpha 90.00
_cell_angle_beta 90.00
_cell_angle_gamma 119.69
loop_
_space_group_symop_operation_xyz
'x,y,z'
loop_
_atom_site_label
_atom_site_type_symbol
_atom_site_fract_x
_atom_site_fract_y
_atom_site_fract_z
Ca1 Ca 0.000 0.000 0.000
Ca2 Ca 0.000 0.500 0.000
Ca3 Ca 0.144 0.321 0.500
Ca4 Ca 0.321 0.144 0.500
Ca5 Ca 0.326 0.674 0.500
Ca6 Ca 0.500 0.000 0.000
Ca7 Ca 0.674 0.326 0.500
Ca8 Ca 0.679 0.856 0.500
Ca9 Ca 0.856 0.679 0.500
Al1 Al 0.167 0.833 0.000
Al2 Al 0.833 0.167 0.000
Co1 Co 0.500 0.500 0.000
# raw total energy = -2.421 eV/atom
# DFT formation energy = 3.556 eV/f.u.
# volume = 403 Å³/cell


# CaAl2Co (PBE, optimized geometry)
data_CaAl2Co
_space_group_name_H-M_alt 'P 1'
_space_group_IT_number 1
_cell_length_a 3.037
_cell_length_b 3.037
_cell_length_c 7.500
_cell_angle_alpha 90.00
_cell_angle_beta 90.00
_cell_angle_gamma 90.00
loop_
_space_group_symop_operation_xyz
'x,y,z'
loop_
_atom_site_label
_atom_site_type_symbol
_atom_site_fract_x
_atom_site_fract_y
_atom_site_fract_z
Ca1 Ca 0.000 0.000 0.000
Al1 Al 0.500 0.500 0.321
Al2 Al 0.500 0.500 0.679
Co1 Co 0.000 0.000 0.500
# raw total energy = -4.426 eV/atom
# DFT formation energy = -1.113 eV/f.u.
# volume = 69 Å³/cell


Q: Number 8 is which compound?
A: CaAlV2Cl